Model P:
Below is crystalline Cs2TeCl at its relaxed geometry, with properties calculated at the PBE-GGA level.

abc: 8.5160 8.5160 8.5160
angles: 112.22 112.22 104.10
Closest atoms and distances in Å follow each position.
Fractional positions:
Cs1 0.3750 0.8314 0.9564  2 Cl 3.35
Cs2 0.8750 0.4186 0.0436  2 Cl 3.35
Cs3 0.1686 0.1250 0.5436  2 Cl 3.35
Cs4 0.5814 0.6250 0.4564  2 Cl 3.35
Te1 0.0000 0.0000 0.0000  4 Cs 3.89
Te2 0.7500 0.2500 0.5000  4 Cs 3.89
Cl1 0.5000 0.5000 0.0000  4 Cs 3.35
Cl2 0.2500 0.7500 0.5000  4 Cs 3.35

Results
Symmetry: No. 122
Fermi-level density of states, states/eV/f.u.: 4.98
Total magnetization, μB per atom: 0.2519


Model Q:
Below is crystalline Cs2TeCl at its relaxed geometry, with properties calculated at the PBE-GGA level.

abc: 5.6566 5.4248 13.8830
angles: 101.27 90.00 90.00
Closest atoms and distances in Å follow each position.
Fractional positions:
Cs1 0.7500 0.6837 0.3674  1 Cl 3.37
Cs2 0.2500 0.3163 0.6326  1 Cl 3.37
Cs3 0.7500 0.9325 0.8650  1 Cl 3.41, 2 Te 3.63
Cs4 0.2500 0.0675 0.1350  1 Cl 3.41, 2 Te 3.63
Te1 0.2500 0.4789 0.9578  2 Te 3.05
Te2 0.7500 0.5211 0.0422  2 Te 3.05
Cl1 0.2500 0.1926 0.3851  2 Cs 3.37-3.41
Cl2 0.7500 0.8074 0.6149  2 Cs 3.37-3.41

Results
Symmetry: No. 63
Total magnetization, μB per atom: 0.0000


From most stable to least stable, the computed energies give model Q, model P.